Record 1
Below is an optimized crystal structure of Be3ZnIr2, with properties calculated at the PBE level.

Results
Crystal system ... orthorhombic
DFT total energy ... -5.496 eV/atom
Energy relative to the elements ... -2.80 eV per formula unit

```
data_Be3ZnIr2
_cell_length_a 3.882
_cell_length_b 11.975
_cell_length_c 2.864
_cell_angle_alpha 90.00
_cell_angle_beta 90.00
_cell_angle_gamma 90.00
_symmetry_space_group_name_H-M 'C m m m'
_symmetry_Int_Tables_number 65
_symmetry_space_group_name_Hall '-C 2 2'
loop_
_atom_site_label
_atom_site_type_symbol
_atom_site_fract_x
_atom_site_fract_y
_atom_site_fract_z
Be1 Be 0.000 0.000 0.000
Be2 Be 0.000 0.315 0.000
Zn1 Zn 0.000 0.500 0.500
Ir1 Ir 0.000 0.156 0.500
```

=====

Record 2
Below is an optimized crystal structure of VAs2Au, with properties calculated at the PBE level.

Results
Crystal system ... trigonal
DFT total energy ... -5.642 eV/atom
Energy relative to the elements ... -0.87 eV per formula unit

```
data_VAs2Au
_cell_length_a 3.1430
_cell_length_b 3.1430
_cell_length_c 25.2778
_cell_angle_alpha 90.00
_cell_angle_beta 90.00
_cell_angle_gamma 120.00
_symmetry_space_group_name_H-M 'R -3 m'
_symmetry_Int_Tables_number 166
_symmetry_space_group_name_Hall '-R 3 2"'
loop_
_atom_site_label
_atom_site_type_symbol
_atom_site_fract_x
_atom_site_fract_y
_atom_site_fract_z
V1 V 0.0000 0.0000 0.0000
As1 As 0.0000 0.0000 0.4009
Au1 Au 0.0000 0.0000 0.5000
```

=====

Record 3
Below is an optimized crystal structure of ScPb, with properties calculated at the PBE level.

Results
Crystal system ... monoclinic
DFT total energy ... -5.302 eV/atom
Energy relative to the elements ... -0.56 eV per formula unit

```
data_ScPb
_cell_length_a 11.530
_cell_length_b 3.465
_cell_length_c 7.825
_cell_angle_alpha 90.00
_cell_angle_beta 99.05
_cell_angle_gamma 90.00
_symmetry_space_group_name_H-M 'C 1 m 1'
_symmetry_Int_Tables_number 8
_symmetry_space_group_name_Hall 'C -2y'
loop_
_atom_site_label
_atom_site_type_symbol
_atom_site_fract_x
_atom_site_fract_y
_atom_site_fract_z
Sc1 Sc 0.000 0.000 0.000
Sc2 Sc 0.152 0.000 0.643
Sc3 Sc 0.324 0.000 0.288
Pb1 Pb 0.095 0.500 0.315
Pb2 Pb 0.234 0.500 0.965
Pb3 Pb 0.420 0.000 0.665
```

=====

Record 4
Below is an optimized crystal structure of ScPaN, with properties calculated at the PBE level.

Results
Formation energy without anion corrections ... -0.12 eV per atom
Crystal system ... cubic
DFT total energy ... -8.175 eV/atom

```
data_ScPaN
_cell_length_a 5.833
_cell_length_b 5.833
_cell_length_c 5.833
_cell_angle_alpha 90.00
_cell_angle_beta 90.00
_cell_angle_gamma 90.00
_symmetry_space_group_name_H-M 'F -4 3 m'
_symmetry_Int_Tables_number 216
_symmetry_space_group_name_Hall 'F -4 2 3'
loop_
_atom_site_label
_atom_site_type_symbol
_atom_site_fract_x
_atom_site_fract_y
_atom_site_fract_z
Sc1 Sc 0.000 0.000 0.000
Pa1 Pa 0.000 0.000 0.500
N1 N 0.250 0.250 0.250
```

=====

Record 5
Below is an optimized crystal structure of CeDyZnCu, with properties calculated at the PBE level.

Results
Crystal system ... cubic
DFT total energy ... -4.145 eV/atom
Energy relative to the elements ... -0.67 eV per formula unit

```
data_CeDyZnCu
_cell_length_a 7.118
_cell_length_b 7.118
_cell_length_c 7.118
_cell_angle_alpha 90.00
_cell_angle_beta 90.00
_cell_angle_gamma 90.00
_symmetry_space_group_name_H-M 'F -4 3 m'
_symmetry_Int_Tables_number 216
_symmetry_space_group_name_Hall 'F -4 2 3'
loop_
_atom_site_label
_atom_site_type_symbol
_atom_site_fract_x
_atom_site_fract_y
_atom_site_fract_z
Ce1 Ce 0.000 0.000 0.000
Dy1 Dy 0.000 0.000 0.500
Zn1 Zn 0.250 0.250 0.250
Cu1 Cu 0.250 0.250 0.750
```

=====

Record 6
Below is an optimized crystal structure of TiBiNO2, with properties calculated at the PBE level.

Results
Formation energy without anion corrections ... 0.17 eV per atom
Crystal system ... tetragonal
DFT total energy ... -5.835 eV/atom

```
data_TiBiNO2
_cell_length_a 4.206
_cell_length_b 4.206
_cell_length_c 4.288
_cell_angle_alpha 90.00
_cell_angle_beta 90.00
_cell_angle_gamma 90.00
_symmetry_space_group_name_H-M 'P 4/m m m'
_symmetry_Int_Tables_number 123
_symmetry_space_group_name_Hall '-P 4 2'
loop_
_atom_site_label
_atom_site_type_symbol
_atom_site_fract_x
_atom_site_fract_y
_atom_site_fract_z
Ti1 Ti 0.000 0.000 0.000
Bi1 Bi 0.500 0.500 0.500
N1 N 0.500 0.500 0.000
O1 O 0.000 0.500 0.500
```

=====

Record 7
Below is an optimized crystal structure of YScTc2Te, with properties calculated at the PBE level.

Results
Formation energy without anion corrections ... 0.92 eV per atom
Crystal system ... tetragonal
DFT total energy ... -6.409 eV/atom

```
data_YScTc2Te
_cell_length_a 4.906
_cell_length_b 4.906
_cell_length_c 5.375
_cell_angle_alpha 90.00
_cell_angle_beta 90.00
_cell_angle_gamma 90.00
_symmetry_space_group_name_H-M 'P 4/m m m'
_symmetry_Int_Tables_number 123
_symmetry_space_group_name_Hall '-P 4 2'
loop_
_atom_site_label
_atom_site_type_symbol
_atom_site_fract_x
_atom_site_fract_y
_atom_site_fract_z
Y1 Y 0.000 0.000 0.000
Sc1 Sc 0.500 0.500 0.000
Tc1 Tc 0.000 0.500 0.500
Te1 Te 0.000 0.000 0.500
```

=====

Record 8
Below is an optimized crystal structure of AsRuPt2, with properties calculated at the PBE level.

Results
Crystal system ... tetragonal
DFT total energy ... -6.344 eV/atom
Energy relative to the elements ... 0.63 eV per formula unit

```
data_AsRuPt2
_cell_length_a 4.764
_cell_length_b 4.764
_cell_length_c 2.786
_cell_angle_alpha 90.00
_cell_angle_beta 90.00
_cell_angle_gamma 90.00
_symmetry_space_group_name_H-M 'P 4/m m m'
_symmetry_Int_Tables_number 123
_symmetry_space_group_name_Hall '-P 4 2'
loop_
_atom_site_label
_atom_site_type_symbol
_atom_site_fract_x
_atom_site_fract_y
_atom_site_fract_z
As1 As 0.000 0.000 0.000
Ru1 Ru 0.500 0.500 0.000
Pt1 Pt 0.000 0.500 0.500
```

=====

Record 9
Below is an optimized crystal structure of Ce2TcF, with properties calculated at the PBE level.

Results
Formation energy without anion corrections ... -1.09 eV per atom
Crystal system ... tetragonal
DFT total energy ... -7.114 eV/atom

```
data_Ce2TcF
_cell_length_a 3.223
_cell_length_b 3.223
_cell_length_c 7.474
_cell_angle_alpha 90.00
_cell_angle_beta 90.00
_cell_angle_gamma 90.00
_symmetry_space_group_name_H-M 'P 4/m m m'
_symmetry_Int_Tables_number 123
_symmetry_space_group_name_Hall '-P 4 2'
loop_
_atom_site_label
_atom_site_type_symbol
_atom_site_fract_x
_atom_site_fract_y
_atom_site_fract_z
Ce1 Ce 0.000 0.000 0.243
Tc1 Tc 0.500 0.500 0.000
F1 F 0.500 0.500 0.500
```

=====

Record 10
Below is an optimized crystal structure of TbNdEr2, with properties calculated at the PBE level.

Results
Crystal system ... orthorhombic
DFT total energy ... -4.609 eV/atom
Energy relative to the elements ... 0.09 eV per formula unit

```
data_TbNdEr2
_cell_length_a 10.095
_cell_length_b 5.035
_cell_length_c 10.062
_cell_angle_alpha 90.00
_cell_angle_beta 90.00
_cell_angle_gamma 90.00
_symmetry_space_group_name_H-M 'P n m a'
_symmetry_Int_Tables_number 62
_symmetry_space_group_name_Hall '-P 2ac 2n'
loop_
_atom_site_label
_atom_site_type_symbol
_atom_site_fract_x
_atom_site_fract_y
_atom_site_fract_z
Tb1 Tb 0.125 0.250 0.248
Nd1 Nd 0.126 0.750 0.500
Er1 Er 0.123 0.750 0.000
Er2 Er 0.125 0.250 0.752
```

=====

Record 11
Below is an optimized crystal structure of LiB4Ir4, with properties calculated at the PBE level.

Results
Crystal system ... orthorhombic
DFT total energy ... -7.217 eV/atom
Energy relative to the elements ... -0.88 eV per formula unit

```
data_LiB4Ir4
_cell_length_a 7.073
_cell_length_b 9.934
_cell_length_c 11.045
_cell_angle_alpha 90.00
_cell_angle_beta 90.00
_cell_angle_gamma 90.00
_symmetry_space_group_name_H-M 'F d d d'
_symmetry_Int_Tables_number 70
loop_
_symmetry_equiv_pos_as_xyz
'x,y,z'
'-x,-y,-z'
'-x+1/4,-y+1/4,z'
'x+1/4,y+1/4,-z'
'x,-y+1/4,-z+1/4'
'-x,y+1/4,z+1/4'
'-x+1/4,y,-z+1/4'
'x+1/4,-y,z+1/4'
'x,y+1/2,z+1/2'
'-x,-y+1/2,-z+1/2'
'-x+1/4,-y+3/4,z+1/2'
'x+1/4,y+3/4,-z+1/2'
'x,-y+3/4,-z+3/4'
'-x,y+3/4,z+3/4'
'-x+1/4,y+1/2,-z+3/4'
'x+1/4,-y+1/2,z+3/4'
'x+1/2,y,z+1/2'
'-x+1/2,-y,-z+1/2'
'-x+3/4,-y+1/4,z+1/2'
'x+3/4,y+1/4,-z+1/2'
'x+1/2,-y+1/4,-z+3/4'
'-x+1/2,y+1/4,z+3/4'
'-x+3/4,y,-z+3/4'
'x+3/4,-y,z+3/4'
'x+1/2,y+1/2,z'
'-x+1/2,-y+1/2,-z'
'-x+3/4,-y+3/4,z'
'x+3/4,y+3/4,-z'
'x+1/2,-y+3/4,-z+1/4'
'-x+1/2,y+3/4,z+1/4'
'-x+3/4,y+1/2,-z+1/4'
'x+3/4,-y+1/2,z+1/4'
loop_
_atom_site_label
_atom_site_type_symbol
_atom_site_fract_x
_atom_site_fract_y
_atom_site_fract_z
Li1 Li 0.125 0.125 0.125
B1 B 0.117 0.037 0.361
Ir1 Ir 0.105 0.369 0.746
```

=====

Record 12
Below is an optimized crystal structure of Sr4ZrTa, with properties calculated at the PBE level.

Results
Crystal system ... cubic
DFT total energy ... -3.162 eV/atom
Energy relative to the elements ... 8.16 eV per formula unit

```
data_Sr4ZrTa
_cell_length_a 9.604
_cell_length_b 9.604
_cell_length_c 9.604
_cell_angle_alpha 90.00
_cell_angle_beta 90.00
_cell_angle_gamma 90.00
_symmetry_space_group_name_H-M 'F -4 3 m'
_symmetry_Int_Tables_number 216
_symmetry_space_group_name_Hall 'F -4 2 3'
loop_
_atom_site_label
_atom_site_type_symbol
_atom_site_fract_x
_atom_site_fract_y
_atom_site_fract_z
Sr1 Sr 0.125 0.125 0.125
Zr1 Zr 0.000 0.000 0.500
Ta1 Ta 0.250 0.250 0.750
```

=====

Record 13
Below is an optimized crystal structure of Cu4TeSe3, with properties calculated at the PBE level.

Results
Formation energy without anion corrections ... -0.09 eV per atom
Crystal system ... orthorhombic
DFT total energy ... -3.840 eV/atom

```
data_Cu4TeSe3
_cell_length_a 7.804
_cell_length_b 6.635
_cell_length_c 6.748
_cell_angle_alpha 90.00
_cell_angle_beta 90.00
_cell_angle_gamma 90.00
_symmetry_space_group_name_H-M 'P m n 21'
_symmetry_Int_Tables_number 31
_symmetry_space_group_name_Hall 'P 2ac -2'
loop_
_atom_site_label
_atom_site_type_symbol
_atom_site_fract_x
_atom_site_fract_y
_atom_site_fract_z
Cu1 Cu 0.000 0.164 0.000
Cu2 Cu 0.000 0.811 0.475
Cu3 Cu 0.237 0.656 0.976
Te1 Te 0.000 0.165 0.624
Se1 Se 0.000 0.827 0.125
Se2 Se 0.250 0.330 0.125
```

=====

Record 14
Below is an optimized crystal structure of K3RbCd3, with properties calculated at the PBE level.

Results
Crystal system ... trigonal
DFT total energy ... -1.048 eV/atom
Energy relative to the elements ... -0.33 eV per formula unit

```
data_K3RbCd3
_cell_length_a 8.7451
_cell_length_b 8.7451
_cell_length_c 29.1456
_cell_angle_alpha 90.00
_cell_angle_beta 90.00
_cell_angle_gamma 120.00
_symmetry_space_group_name_H-M 'R -3 m'
_symmetry_Int_Tables_number 166
_symmetry_space_group_name_Hall '-R 3 2"'
loop_
_atom_site_label
_atom_site_type_symbol
_atom_site_fract_x
_atom_site_fract_y
_atom_site_fract_z
K1 K 0.0023 0.5012 0.3985
Rb1 Rb 0.0000 0.0000 0.4262
Cd1 Cd 0.0941 0.5471 0.8332
```

=====

Record 15
Below is an optimized crystal structure of Tm3Np2Se8, with properties calculated at the PBE level.

Results
Formation energy without anion corrections ... -1.46 eV per atom
Crystal system ... monoclinic
DFT total energy ... -6.626 eV/atom

```
data_Tm3Np2Se8
_cell_length_a 14.583
_cell_length_b 8.044
_cell_length_c 6.855
_cell_angle_alpha 90.00
_cell_angle_beta 108.85
_cell_angle_gamma 90.00
_symmetry_space_group_name_H-M 'C 1 2/m 1'
_symmetry_Int_Tables_number 12
_symmetry_space_group_name_Hall '-C 2y'
loop_
_atom_site_label
_atom_site_type_symbol
_atom_site_fract_x
_atom_site_fract_y
_atom_site_fract_z
Tm1 Tm 0.000 0.000 0.000
Tm2 Tm 0.000 0.259 0.500
Np1 Np 0.243 0.500 0.167
Se1 Se 0.112 0.500 0.392
Se2 Se 0.116 0.000 0.418
Se3 Se 0.123 0.238 0.913
```

=====

Record 16
Below is an optimized crystal structure of Tb12Ho5Cd2, with properties calculated at the PBE level.

Results
Crystal system ... monoclinic
DFT total energy ... -4.176 eV/atom
Energy relative to the elements ... 0.93 eV per formula unit

```
data_Tb12Ho5Cd2
_cell_length_a 15.492
_cell_length_b 9.183
_cell_length_c 8.294
_cell_angle_alpha 90.00
_cell_angle_beta 91.61
_cell_angle_gamma 90.00
_symmetry_space_group_name_H-M 'C 1 2/m 1'
_symmetry_Int_Tables_number 12
_symmetry_space_group_name_Hall '-C 2y'
loop_
_atom_site_label
_atom_site_type_symbol
_atom_site_fract_x
_atom_site_fract_y
_atom_site_fract_z
Tb1 Tb 0.056 0.000 0.325
Tb2 Tb 0.084 0.500 0.886
Tb3 Tb 0.125 0.195 0.666
Tb4 Tb 0.150 0.315 0.239
Ho1 Ho 0.000 0.500 0.500
Ho2 Ho 0.196 0.000 0.011
Ho3 Ho 0.234 0.500 0.580
Cd1 Cd 0.000 0.176 0.000
```

=====

Record 17
Below is an optimized crystal structure of CePrDy4, with properties calculated at the PBE level.

Results
Crystal system ... monoclinic
DFT total energy ... -4.801 eV/atom
Energy relative to the elements ... 0.32 eV per formula unit

```
data_CePrDy4
_cell_length_a 6.201
_cell_length_b 3.560
_cell_length_c 8.726
_cell_angle_alpha 90.00
_cell_angle_beta 90.09
_cell_angle_gamma 90.00
_symmetry_space_group_name_H-M 'P 1 2/m 1'
_symmetry_Int_Tables_number 10
_symmetry_space_group_name_Hall '-P 2y'
loop_
_atom_site_label
_atom_site_type_symbol
_atom_site_fract_x
_atom_site_fract_y
_atom_site_fract_z
Ce1 Ce 0.000 0.000 0.000
Pr1 Pr 0.500 0.500 0.000
Dy1 Dy 0.164 0.500 0.668
Dy2 Dy 0.329 0.000 0.337
```

=====

Record 18
Below is an optimized crystal structure of DySI, with properties calculated at the PBE level.

Results
Formation energy without anion corrections ... -1.63 eV per atom
Crystal system ... monoclinic
DFT total energy ... -5.059 eV/atom

```
data_DySI
_cell_length_a 6.889
_cell_length_b 7.923
_cell_length_c 8.531
_cell_angle_alpha 90.00
_cell_angle_beta 122.90
_cell_angle_gamma 90.00
_symmetry_space_group_name_H-M 'P 1 21/c 1'
_symmetry_Int_Tables_number 14
_symmetry_space_group_name_Hall '-P 2ybc'
loop_
_atom_site_label
_atom_site_type_symbol
_atom_site_fract_x
_atom_site_fract_y
_atom_site_fract_z
Dy1 Dy 0.122 0.131 0.224
S1 S 0.189 0.110 0.949
I1 I 0.302 0.625 0.056
```

=====

Record 19
Below is an optimized crystal structure of Cd2In, with properties calculated at the PBE level.

Results
Crystal system ... cubic
DFT total energy ... -1.336 eV/atom
Energy relative to the elements ... 0.56 eV per formula unit

```
data_Cd2In
_cell_length_a 7.078
_cell_length_b 7.078
_cell_length_c 7.078
_cell_angle_alpha 90.00
_cell_angle_beta 90.00
_cell_angle_gamma 90.00
_symmetry_space_group_name_H-M 'P a -3'
_symmetry_Int_Tables_number 205
_symmetry_space_group_name_Hall '-P 2ac 2ab 3'
loop_
_atom_site_label
_atom_site_type_symbol
_atom_site_fract_x
_atom_site_fract_y
_atom_site_fract_z
Cd1 Cd 0.124 0.124 0.124
In1 In 0.000 0.000 0.500
```

=====

Record 20
Below is an optimized crystal structure of MgSc2Tc, with properties calculated at the PBE level.

Results
Crystal system ... orthorhombic
DFT total energy ... -6.026 eV/atom
Energy relative to the elements ... 0.52 eV per formula unit

```
data_MgSc2Tc
_cell_length_a 3.411
_cell_length_b 4.928
_cell_length_c 9.610
_cell_angle_alpha 90.00
_cell_angle_beta 90.00
_cell_angle_gamma 90.00
_symmetry_space_group_name_H-M 'C m m 2'
_symmetry_Int_Tables_number 35
_symmetry_space_group_name_Hall 'C 2 -2'
loop_
_atom_site_label
_atom_site_type_symbol
_atom_site_fract_x
_atom_site_fract_y
_atom_site_fract_z
Mg1 Mg 0.000 0.000 0.000
Sc1 Sc 0.000 0.000 0.427
Sc2 Sc 0.000 0.500 0.721
Tc1 Tc 0.000 0.500 0.222
```